No. 1
An optimized crystal structure of NiP2Se, computed with PBE-GGA.

Unit cell a=6.115 b=6.115 c=6.115 alpha=33.40 beta=33.40 gamma=33.40
Fractional positions:
Ni 0.750 0.750 0.750
P 0.019 0.019 0.019
P 0.481 0.481 0.481
Se 0.250 0.250 0.250

Energy relative to the elements, uncorrected ... 0.07 eV per atom

***

No. 2
An optimized crystal structure of Li2BPb4, computed with PBE-GGA.

Unit cell a=5.420 b=5.420 c=7.697 alpha=69.38 beta=69.38 gamma=90.00
Fractional positions:
Pb 0.828 0.828 0.344
Pb 0.172 0.172 0.656
Pb 0.000 0.500 0.000
Pb 0.500 0.000 0.000
B 0.000 0.000 0.000
Li 0.618 0.618 0.765
Li 0.382 0.382 0.235

Energy of formation from the pure elements ... 359 meV per atom

***

No. 3
An optimized crystal structure of BaP6Rh12, computed with PBE-GGA.

Unit cell a=7.010 b=7.010 c=7.010 alpha=105.25 beta=105.25 gamma=105.25
Fractional positions:
Ba 0.000 0.000 0.000
P 0.650 0.235 0.235
P 0.235 0.235 0.650
P 0.235 0.650 0.235
P 0.765 0.765 0.350
P 0.350 0.765 0.765
P 0.765 0.350 0.765
Rh 0.868 0.132 0.500
Rh 0.817 0.537 0.537
Rh 0.537 0.537 0.817
Rh 0.463 0.183 0.463
Rh 0.463 0.463 0.183
Rh 0.183 0.463 0.463
Rh 0.132 0.500 0.868
Rh 0.500 0.868 0.132
Rh 0.132 0.868 0.500
Rh 0.868 0.500 0.132
Rh 0.500 0.132 0.868
Rh 0.537 0.817 0.537

Energy of formation from the pure elements ... -694 meV per atom

***

Computed total energy, in the same sequence as the records: -4.950 -3.260 -7.147 eV per atom.
Computed Fermi-level density of states, in the same sequence as the records: 2.4 2.0 10.5 states/eV/f.u..
Computed total magnetic moment, in the same sequence as the records: 0.00 0.00 0.00 μB per formula unit.